No. 1
# CaEr2Hg6 | Alexandria | PBE | relaxed
data_CaEr2Hg6
_chemical_formula_sum 'Ca1 Er2 Hg6'
_cell_length_a 8.587
_cell_length_b 8.587
_cell_length_c 3.437
_cell_angle_alpha 90.00
_cell_angle_beta 90.00
_cell_angle_gamma 120.00
_space_group_name_H-M_alt 'P 1'
_space_group_IT_number 1
loop_
_space_group_symop_operation_xyz
'x,y,z'
loop_
_atom_site_label
_atom_site_type_symbol
_atom_site_fract_x
_atom_site_fract_y
_atom_site_fract_z
Ca1 Ca 0.000 0.000 0.000
Er1 Er 0.333 0.667 0.000
Er2 Er 0.667 0.333 0.000
Hg1 Hg 0.000 0.334 0.500
Hg2 Hg 0.000 0.666 0.500
Hg3 Hg 0.334 0.000 0.500
Hg4 Hg 0.334 0.334 0.500
Hg5 Hg 0.666 0.000 0.500
Hg6 Hg 0.666 0.666 0.500
# Final energy (Ha/atom): -0.0669
# Energy of formation from the pure elements (eV/atom): -0.382
# Magnetization (Bohr magnetons per cell): 0.00
# Symmetry: P6/mmm (191)

***

No. 2
# Ca4ErHg5 | Alexandria | PBE | relaxed
data_Ca4ErHg5
_chemical_formula_sum 'Ca4 Er1 Hg5'
_cell_length_a 3.763
_cell_length_b 3.763
_cell_length_c 18.857
_cell_angle_alpha 90.00
_cell_angle_beta 90.00
_cell_angle_gamma 90.00
_space_group_name_H-M_alt 'P 1'
_space_group_IT_number 1
loop_
_space_group_symop_operation_xyz
'x,y,z'
loop_
_atom_site_label
_atom_site_type_symbol
_atom_site_fract_x
_atom_site_fract_y
_atom_site_fract_z
Ca1 Ca 0.000 0.000 0.102
Ca2 Ca 0.000 0.000 0.303
Ca3 Ca 0.000 0.000 0.697
Ca4 Ca 0.000 0.000 0.898
Er1 Er 0.000 0.000 0.500
Hg1 Hg 0.500 0.500 0.000
Hg2 Hg 0.500 0.500 0.202
Hg3 Hg 0.500 0.500 0.407
Hg4 Hg 0.500 0.500 0.593
Hg5 Hg 0.500 0.500 0.798
# Final energy (Ha/atom): -0.0716
# Energy of formation from the pure elements (eV/atom): -0.542
# Magnetization (Bohr magnetons per cell): 0.00
# Symmetry: P4/mmm (123)

***

No. 3
# CaEr4Hg4 | Alexandria | PBE | relaxed
data_CaEr4Hg4
_chemical_formula_sum 'Ca2 Er8 Hg8'
_cell_length_a 9.873
_cell_length_b 9.873
_cell_length_c 5.796
_cell_angle_alpha 90.00
_cell_angle_beta 90.00
_cell_angle_gamma 90.00
_space_group_name_H-M_alt 'P 1'
_space_group_IT_number 1
loop_
_space_group_symop_operation_xyz
'x,y,z'
loop_
_atom_site_label
_atom_site_type_symbol
_atom_site_fract_x
_atom_site_fract_y
_atom_site_fract_z
Ca1 Ca 0.250 0.250 0.250
Ca2 Ca 0.750 0.750 0.750
Er1 Er 0.102 0.662 0.181
Er2 Er 0.162 0.898 0.681
Er3 Er 0.338 0.602 0.681
Er4 Er 0.398 0.838 0.181
Er5 Er 0.602 0.162 0.819
Er6 Er 0.662 0.398 0.319
Er7 Er 0.838 0.102 0.319
Er8 Er 0.898 0.338 0.819
Hg1 Hg 0.030 0.603 0.685
Hg2 Hg 0.103 0.970 0.185
Hg3 Hg 0.397 0.530 0.185
Hg4 Hg 0.470 0.897 0.685
Hg5 Hg 0.530 0.103 0.315
Hg6 Hg 0.603 0.470 0.815
Hg7 Hg 0.897 0.030 0.815
Hg8 Hg 0.970 0.397 0.315
# Final energy (Ha/atom): -0.0962
# Energy of formation from the pure elements (eV/atom): -0.234
# Magnetization (Bohr magnetons per cell): 0.00
# Symmetry: P4_2/n (86)

***

No. 4
# Ca2ErHg9 | Alexandria | PBE | relaxed
data_Ca2ErHg9
_chemical_formula_sum 'Ca2 Er1 Hg9'
_cell_length_a 4.638
_cell_length_b 4.638
_cell_length_c 14.040
_cell_angle_alpha 90.00
_cell_angle_beta 90.00
_cell_angle_gamma 90.00
_space_group_name_H-M_alt 'P 1'
_space_group_IT_number 1
loop_
_space_group_symop_operation_xyz
'x,y,z'
loop_
_atom_site_label
_atom_site_type_symbol
_atom_site_fract_x
_atom_site_fract_y
_atom_site_fract_z
Ca1 Ca 0.000 0.000 0.167
Ca2 Ca 0.000 0.000 0.833
Er1 Er 0.000 0.000 0.500
Hg1 Hg 0.000 0.500 0.000
Hg2 Hg 0.000 0.500 0.338
Hg3 Hg 0.000 0.500 0.662
Hg4 Hg 0.500 0.000 0.000
Hg5 Hg 0.500 0.000 0.338
Hg6 Hg 0.500 0.000 0.662
Hg7 Hg 0.500 0.500 0.168
Hg8 Hg 0.500 0.500 0.500
Hg9 Hg 0.500 0.500 0.832
# Final energy (Ha/atom): -0.0472
# Energy of formation from the pure elements (eV/atom): -0.345
# Magnetization (Bohr magnetons per cell): 0.00
# Symmetry: P4/mmm (123)

***

No. 5
# CaErHg3 | Alexandria | PBE | relaxed
data_CaErHg3
_chemical_formula_sum 'Ca2 Er2 Hg6'
_cell_length_a 14.697
_cell_length_b 14.697
_cell_length_c 4.890
_cell_angle_alpha 90.00
_cell_angle_beta 90.00
_cell_angle_gamma 165.67
_space_group_name_H-M_alt 'P 1'
_space_group_IT_number 1
loop_
_space_group_symop_operation_xyz
'x,y,z'
loop_
_atom_site_label
_atom_site_type_symbol
_atom_site_fract_x
_atom_site_fract_y
_atom_site_fract_z
Ca1 Ca 0.077 0.923 0.750
Ca2 Ca 0.923 0.077 0.250
Er1 Er 0.211 0.789 0.250
Er2 Er 0.789 0.211 0.750
Hg1 Hg 0.316 0.684 0.250
Hg2 Hg 0.376 0.624 0.750
Hg3 Hg 0.474 0.526 0.750
Hg4 Hg 0.526 0.474 0.250
Hg5 Hg 0.624 0.376 0.250
Hg6 Hg 0.684 0.316 0.750
# Final energy (Ha/atom): -0.0710
# Energy of formation from the pure elements (eV/atom): -0.437
# Magnetization (Bohr magnetons per cell): 0.00
# Symmetry: Cmcm (63)

***

No. 6
# Ca5ErHg6 | Alexandria | PBE | relaxed
data_Ca5ErHg6
_chemical_formula_sum 'Ca5 Er1 Hg6'
_cell_length_a 9.227
_cell_length_b 9.227
_cell_length_c 5.330
_cell_angle_alpha 106.74
_cell_angle_beta 106.74
_cell_angle_gamma 48.17
_space_group_name_H-M_alt 'P 1'
_space_group_IT_number 1
loop_
_space_group_symop_operation_xyz
'x,y,z'
loop_
_atom_site_label
_atom_site_type_symbol
_atom_site_fract_x
_atom_site_fract_y
_atom_site_fract_z
Ca1 Ca 0.000 0.000 0.000
Ca2 Ca 0.164 0.164 0.664
Ca3 Ca 0.329 0.329 0.330
Ca4 Ca 0.671 0.671 0.670
Ca5 Ca 0.836 0.836 0.336
Er1 Er 0.500 0.500 0.000
Hg1 Hg 0.095 0.580 0.838
Hg2 Hg 0.267 0.733 0.500
Hg3 Hg 0.420 0.905 0.162
Hg4 Hg 0.580 0.095 0.838
Hg5 Hg 0.733 0.267 0.500
Hg6 Hg 0.905 0.420 0.162
# Final energy (Ha/atom): -0.0702
# Energy of formation from the pure elements (eV/atom): -0.544
# Magnetization (Bohr magnetons per cell): 0.00
# Symmetry: C2/m (12)

***

No. 7
# Ca3ErHg12 | Alexandria | PBE | relaxed
data_Ca3ErHg12
_chemical_formula_sum 'Ca3 Er1 Hg12'
_cell_length_a 4.658
_cell_length_b 4.658
_cell_length_c 18.674
_cell_angle_alpha 90.00
_cell_angle_beta 90.00
_cell_angle_gamma 90.00
_space_group_name_H-M_alt 'P 1'
_space_group_IT_number 1
loop_
_space_group_symop_operation_xyz
'x,y,z'
loop_
_atom_site_label
_atom_site_type_symbol
_atom_site_fract_x
_atom_site_fract_y
_atom_site_fract_z
Ca1 Ca 0.000 0.000 0.000
Ca2 Ca 0.000 0.000 0.251
Ca3 Ca 0.000 0.000 0.749
Er1 Er 0.000 0.000 0.500
Hg1 Hg 0.000 0.500 0.126
Hg2 Hg 0.000 0.500 0.379
Hg3 Hg 0.000 0.500 0.621
Hg4 Hg 0.000 0.500 0.874
Hg5 Hg 0.500 0.000 0.126
Hg6 Hg 0.500 0.000 0.379
Hg7 Hg 0.500 0.000 0.621
Hg8 Hg 0.500 0.000 0.874
Hg9 Hg 0.500 0.500 0.000
Hg10 Hg 0.500 0.500 0.253
Hg11 Hg 0.500 0.500 0.500
Hg12 Hg 0.500 0.500 0.747
# Final energy (Ha/atom): -0.0454
# Energy of formation from the pure elements (eV/atom): -0.350
# Magnetization (Bohr magnetons per cell): 0.00
# Symmetry: P4/mmm (123)

***

No. 8
# CaErHg4 | Alexandria | PBE | relaxed
data_CaErHg4
_chemical_formula_sum 'Ca1 Er1 Hg4'
_cell_length_a 3.842
_cell_length_b 5.669
_cell_length_c 7.941
_cell_angle_alpha 110.79
_cell_angle_beta 90.02
_cell_angle_gamma 109.56
_space_group_name_H-M_alt 'P 1'
_space_group_IT_number 1
loop_
_space_group_symop_operation_xyz
'x,y,z'
loop_
_atom_site_label
_atom_site_type_symbol
_atom_site_fract_x
_atom_site_fract_y
_atom_site_fract_z
Ca1 Ca 0.000 0.000 0.000
Er1 Er 0.000 0.000 0.500
Hg1 Hg 0.331 0.663 0.173
Hg2 Hg 0.333 0.666 0.660
Hg3 Hg 0.667 0.334 0.340
Hg4 Hg 0.669 0.337 0.827
# Final energy (Ha/atom): -0.0620
# Energy of formation from the pure elements (eV/atom): -0.391
# Magnetization (Bohr magnetons per cell): 0.00
# Symmetry: P-1 (2)

***

No. 9
# Ca2ErHg8 | Alexandria | PBE | relaxed
data_Ca2ErHg8
_chemical_formula_sum 'Ca2 Er1 Hg8'
_cell_length_a 8.452
_cell_length_b 8.452
_cell_length_c 8.452
_cell_angle_alpha 144.41
_cell_angle_beta 125.62
_cell_angle_gamma 66.70
_space_group_name_H-M_alt 'P 1'
_space_group_IT_number 1
loop_
_space_group_symop_operation_xyz
'x,y,z'
loop_
_atom_site_label
_atom_site_type_symbol
_atom_site_fract_x
_atom_site_fract_y
_atom_site_fract_z
Ca1 Ca 0.209 0.209 0.000
Ca2 Ca 0.791 0.791 0.000
Er1 Er 0.500 0.500 0.000
Hg1 Hg 0.061 0.364 0.696
Hg2 Hg 0.200 0.000 0.200
Hg3 Hg 0.332 0.636 0.696
Hg4 Hg 0.350 0.850 0.500
Hg5 Hg 0.650 0.150 0.500
Hg6 Hg 0.668 0.364 0.304
Hg7 Hg 0.800 0.000 0.800
Hg8 Hg 0.939 0.636 0.304
# Final energy (Ha/atom): -0.0489
# Energy of formation from the pure elements (eV/atom): -0.334
# Magnetization (Bohr magnetons per cell): 0.00
# Symmetry: Immm (71)

***

No. 10
# CaEr2Hg3 | Alexandria | PBE | relaxed
data_CaEr2Hg3
_chemical_formula_sum 'Ca1 Er2 Hg3'
_cell_length_a 3.700
_cell_length_b 3.700
_cell_length_c 11.282
_cell_angle_alpha 90.00
_cell_angle_beta 90.00
_cell_angle_gamma 90.00
_space_group_name_H-M_alt 'P 1'
_space_group_IT_number 1
loop_
_space_group_symop_operation_xyz
'x,y,z'
loop_
_atom_site_label
_atom_site_type_symbol
_atom_site_fract_x
_atom_site_fract_y
_atom_site_fract_z
Ca1 Ca 0.000 0.000 0.000
Er1 Er 0.000 0.000 0.337
Er2 Er 0.000 0.000 0.663
Hg1 Hg 0.500 0.500 0.179
Hg2 Hg 0.500 0.500 0.500
Hg3 Hg 0.500 0.500 0.821
# Final energy (Ha/atom): -0.0927
# Energy of formation from the pure elements (eV/atom): -0.518
# Magnetization (Bohr magnetons per cell): 0.00
# Symmetry: P4/mmm (123)